[1]
Below is an optimized crystal structure of Cs3Ce3CdSe8, with properties calculated at the GGA-PBE level.

The structure in CIF format:
```
data_Cs3Ce3CdSe8
_chemical_formula_sum 'Cs9 Ce9 Cd3 Se24'
_cell_length_a 8.5735
_cell_length_b 8.5735
_cell_length_c 25.3817
_cell_angle_alpha 90.00
_cell_angle_beta 90.00
_cell_angle_gamma 120.00
_symmetry_space_group_name_H-M 'R -3 m'
_symmetry_Int_Tables_number 166
_symmetry_space_group_name_Hall '-R 3 2"'
loop_
_atom_site_label
_atom_site_type_symbol
_atom_site_fract_x
_atom_site_fract_y
_atom_site_fract_z
_atom_site_occupancy
Cs1 Cs 0.0000 0.5000 0.0000 1
Ce1 Ce 0.0000 0.5000 0.5000 1
Cd1 Cd 0.0000 0.0000 0.5000 1
Se1 Se 0.0000 0.0000 0.2291 1
Se2 Se 0.0059 0.5029 0.7724 1
```

Results
Formation energy (no corrections), eV/atom: -1.44

[2]
Below is an optimized crystal structure of CeCd11Cu, with properties calculated at the GGA-PBE level.

The structure in CIF format:
```
data_CeCd11Cu
_chemical_formula_sum 'Ce2 Cd22 Cu2'
_cell_length_a 5.823
_cell_length_b 14.115
_cell_length_c 7.583
_cell_angle_alpha 90.00
_cell_angle_beta 111.63
_cell_angle_gamma 90.00
_symmetry_space_group_name_H-M 'C 1 2/m 1'
_symmetry_Int_Tables_number 12
loop_
_symmetry_equiv_pos_as_xyz
'x,y,z'
'-x,-y,-z'
'-x,y,-z'
'x,-y,z'
'x+1/2,y+1/2,z'
'-x+1/2,-y+1/2,-z'
'-x+1/2,y+1/2,-z'
'x+1/2,-y+1/2,z'
loop_
_atom_site_label
_atom_site_type_symbol
_atom_site_fract_x
_atom_site_fract_y
_atom_site_fract_z
_atom_site_occupancy
Ce1 Ce 0.000 0.000 0.000 1
Cd1 Cd 0.000 0.000 0.500 1
Cd2 Cd 0.096 0.396 0.219 1
Cd3 Cd 0.189 0.171 0.357 1
Cd4 Cd 0.250 0.250 0.000 1
Cu1 Cu 0.000 0.500 0.500 1
```

Results
DFT formation energy, eV per atom: -0.077